The following is a PBE-GGA calculation of crystalline Rh4AuSe at its relaxed geometry, from Alexandria.

The structure in CIF format:
```
data_Rh4AuSe
_cell_length_a 7.331
_cell_length_b 7.331
_cell_length_c 7.331
_cell_angle_alpha 90.00
_cell_angle_beta 90.00
_cell_angle_gamma 90.00
_space_group_name_H-M_alt 'F -4 3 m'
_space_group_IT_number 216
_space_group_name_Hall 'F -4 2 3'
loop_
_atom_site_label
_atom_site_fract_x
_atom_site_fract_y
_atom_site_fract_z
_atom_site_occupancy
Rh1 0.125 0.125 0.125 1
Au1 0.250 0.250 0.750 1
Se1 0.000 0.000 0.500 1
```

Its mass density is 11.6 g cm⁻³. As for the uncorrected formation energy: 0.473 eV per atom.